VASP calculation (PBE-GGA) on an optimized crystal structure of BaTaTe2.

Unit cell a=3.793 b=4.017 c=15.767 alpha=90.00 beta=90.00 gamma=90.00
Space group Imm2 (No. 44)
Symmetry-distinct sites (fractional):
Ba 0.000 0.000 0.000 [2 per cell]
Ta 0.000 0.500 0.254 [2 per cell]
Te 0.000 0.000 0.624 [2 per cell]
Te 0.000 0.500 0.824 [2 per cell]

Results
**Polymorph energy (0 for the lowest one)**: 2.17 kcal/mol of atoms
**Total moment**: 0.86 μB per formula unit
**ΔE_f (raw)**: -0.40 eV/atom